(1)
Material: SrVS2F
Method: DFT, PBE+U
State: relaxed

CIF file:
```
data_SrVS2F
_symmetry_space_group_name_H-M 'P 4/m m m'
_symmetry_Int_Tables_number 123
_symmetry_space_group_name_Hall '-P 4 2'
_cell_length_a 5.5254
_cell_length_b 5.5254
_cell_length_c 4.3928
_cell_angle_alpha 90.00
_cell_angle_beta 90.00
_cell_angle_gamma 90.00
loop_
_atom_site_label
_atom_site_type_symbol
_atom_site_fract_x
_atom_site_fract_y
_atom_site_fract_z
Sr1 Sr 0.0000 0.0000 0.0000
V1 V 0.5000 0.5000 0.5000
S1 S 0.0000 0.5000 0.0000
F1 F 0.0000 0.0000 0.5000
```


(2)
Material: SrWS2F
Method: DFT, PBE+U
State: relaxed

CIF file:
```
data_SrWS2F
_symmetry_space_group_name_H-M 'P 4/m m m'
_symmetry_Int_Tables_number 123
_symmetry_space_group_name_Hall '-P 4 2'
_cell_length_a 5.5098
_cell_length_b 5.5098
_cell_length_c 7.2519
_cell_angle_alpha 90.00
_cell_angle_beta 90.00
_cell_angle_gamma 90.00
loop_
_atom_site_label
_atom_site_type_symbol
_atom_site_fract_x
_atom_site_fract_y
_atom_site_fract_z
Sr1 Sr 0.0000 0.0000 0.0000
W1 W 0.0000 0.0000 0.5000
S1 S 0.0000 0.5000 0.0000
F1 F 0.5000 0.5000 0.5000
```


| no. | E (eV/atom) | ρ (g/cm³) |
| --- | --- | --- |
| 1 | -4.39 | 2.7 |
| 2 | -2.80 | 2.7 |